A relaxed structure of Zn2CdW, computed with PBEsol.

Geometry as POSCAR:
```
Zn2CdW
1.0
2.754 0.000 0.000
0.000 3.877 0.000
0.000 0.000 5.886
Zn Cd W
2 1 1
Cartesian
0.000 0.000 1.330
0.000 0.000 4.556
1.377 1.938 2.943
1.377 1.938 0.000
```

Output
E   -4.1878 eV/atom
N(E_F)   1.8 states/eV per cell
Crystal system   orthorhombic

A relaxed structure of ZnCdW2, computed with PBEsol.

Geometry as POSCAR:
```
ZnCdW2
1.0
-1.893 1.893 4.434
1.893 -1.893 4.434
1.893 1.893 -4.434
Zn Cd W
1 1 2
Cartesian
0.000 0.000 0.000
0.000 0.000 4.434
1.893 0.000 2.217
0.000 1.893 2.217
```

Output
E   -7.0708 eV/atom
N(E_F)   1.9 states/eV per cell
Crystal system   tetragonal

A relaxed structure of ZnCd2W, computed with PBEsol.

Geometry as POSCAR:
```
ZnCd2W
1.0
3.978 0.000 0.000
0.000 3.978 0.000
0.000 0.000 4.222
Zn Cd W
1 2 1
Cartesian
0.000 0.000 0.000
0.000 1.989 2.111
1.989 0.000 2.111
1.989 1.989 0.000
```

Output
E   -3.9765 eV/atom
N(E_F)   1.4 states/eV per cell
Crystal system   tetragonal

A relaxed structure of ZnCd2W, computed with PBEsol.

Geometry as POSCAR:
```
ZnCd2W
1.0
2.807 0.000 0.000
0.000 4.537 0.000
-1.313 0.000 5.338
Zn Cd W
1 2 1
Cartesian
0.000 0.000 0.000
-0.579 2.269 4.015
2.073 2.269 1.323
0.747 0.000 2.669
```

Output
E   -3.9461 eV/atom
N(E_F)   2.1 states/eV per cell
Crystal system   monoclinic

A relaxed structure of ZnCdW2, computed with PBEsol.

Geometry as POSCAR:
```
ZnCdW2
1.0
3.291 0.000 0.000
0.000 3.291 0.000
0.000 0.000 5.978
Zn Cd W
1 1 2
Cartesian
0.000 0.000 0.000
0.000 0.000 2.989
1.645 1.645 1.220
1.645 1.645 4.759
```

Output
E   -6.8994 eV/atom
N(E_F)   1.7 states/eV per cell
Crystal system   tetragonal

A relaxed structure of ZnCd2W, computed with PBEsol.

Geometry as POSCAR:
```
ZnCd2W
1.0
2.787 0.000 0.000
0.000 2.787 0.000
0.000 0.000 8.830
Zn Cd W
1 2 1
Cartesian
0.000 0.000 0.000
0.000 0.000 4.662
1.394 1.394 2.180
1.394 1.394 6.901
```

Output
E   -4.1126 eV/atom
N(E_F)   1.7 states/eV per cell
Crystal system   tetragonal

Repeat the first record exactly.
A relaxed structure of Zn2CdW, computed with PBEsol.

Geometry as POSCAR:
```
Zn2CdW
1.0
2.754 0.000 0.000
0.000 3.877 0.000
0.000 0.000 5.886
Zn Cd W
2 1 1
Cartesian
0.000 0.000 1.330
0.000 0.000 4.556
1.377 1.938 2.943
1.377 1.938 0.000
```

Output
E   -4.1878 eV/atom
N(E_F)   1.8 states/eV per cell
Crystal system   orthorhombic

Q: Which formula does entry 3 have?
A: ZnCd2W

What did the fourth record say?
A relaxed structure of ZnCd2W, computed with PBEsol.

Geometry as POSCAR:
```
ZnCd2W
1.0
2.807 0.000 0.000
0.000 4.537 0.000
-1.313 0.000 5.338
Zn Cd W
1 2 1
Cartesian
0.000 0.000 0.000
-0.579 2.269 4.015
2.073 2.269 1.323
0.747 0.000 2.669
```

Output
E   -3.9461 eV/atom
N(E_F)   2.1 states/eV per cell
Crystal system   monoclinic